[1]
# GGA-PBE RbY2IrO8, optimized geometry
data_RbY2IrO8
_chemical_formula_sum 'Rb1 Y2 Ir1 O8'
_symmetry_space_group_name_H-M 'P -1'
_symmetry_Int_Tables_number 2
_cell_length_a 4.5988
_cell_length_b 4.8205
_cell_length_c 7.7927
_cell_angle_alpha 93.91
_cell_angle_beta 97.94
_cell_angle_gamma 94.43
loop_
_symmetry_equiv_pos_as_xyz
'x,y,z'
'-x,-y,-z'
loop_
_atom_site_label
_atom_site_fract_x
_atom_site_fract_y
_atom_site_fract_z
_atom_site_occupancy
Rb1 0.0000 0.0000 0.0000 1
Y1 0.4286 0.4620 0.7158 1
Ir1 0.0000 0.0000 0.5000 1
O1 0.1020 0.7100 0.3390 1
O2 0.2852 0.9180 0.6957 1
O3 0.2902 0.2611 0.4358 1
O4 0.3394 0.5195 0.0037 1
# formation energy (no corrections)	-1.80	eV per atom
# calculated volume	14.2	Å³/atom
# size of the total moment	1.49	μB per formula unit
# N(E_F)	5.10	states/eV/cell
# calculated density	5.7	g/cm3



[2]
# GGA-PBE Rb3Y3IrO8, optimized geometry
data_Rb3Y3IrO8
_chemical_formula_sum 'Rb9 Y9 Ir3 O24'
_symmetry_space_group_name_H-M 'R -3 m'
_symmetry_Int_Tables_number 166
_symmetry_space_group_name_Hall '-R 3 2"'
_cell_length_a 6.8220
_cell_length_b 6.8220
_cell_length_c 19.7327
_cell_angle_alpha 90.00
_cell_angle_beta 90.00
_cell_angle_gamma 120.00
loop_
_atom_site_label
_atom_site_fract_x
_atom_site_fract_y
_atom_site_fract_z
_atom_site_occupancy
Rb1 0.0000 0.5000 0.0000 1
Y1 0.0000 0.5000 0.5000 1
Ir1 0.0000 0.0000 0.5000 1
O1 0.0000 0.0000 0.2242 1
O2 0.0259 0.5130 0.2217 1
# formation energy (no corrections)	-2.27	eV per atom
# calculated volume	17.7	Å³/atom
# size of the total moment	1.06	μB per formula unit
# N(E_F)	22.32	states/eV/cell
# calculated density	5.3	g/cm3



[3]
# GGA-PBE RbYIrO6, optimized geometry
data_RbYIrO6
_chemical_formula_sum 'Rb1 Y1 Ir1 O6'
_symmetry_space_group_name_H-M 'P 3 1 2'
_symmetry_Int_Tables_number 149
_cell_length_a 5.6536
_cell_length_b 5.6536
_cell_length_c 6.1828
_cell_angle_alpha 90.00
_cell_angle_beta 90.00
_cell_angle_gamma 120.00
loop_
_symmetry_equiv_pos_as_xyz
'x,y,z'
'-y,x-y,z'
'-x+y,-x,z'
'-y,-x,-z'
'-x+y,y,-z'
'x,x-y,-z'
loop_
_atom_site_label
_atom_site_fract_x
_atom_site_fract_y
_atom_site_fract_z
_atom_site_occupancy
Rb1 0.0000 0.0000 0.0000 1
Y1 0.6667 0.3333 0.5000 1
Ir1 0.3333 0.6667 0.5000 1
O1 0.0471 0.4057 0.3232 1
# formation energy (no corrections)	-1.45	eV per atom
# calculated volume	19.0	Å³/atom
# size of the total moment	0.86	μB per formula unit
# N(E_F)	5.33	states/eV/cell
# calculated density	4.5	g/cm3